(1)
This record from Alexandria describes a geometry-optimized K3YSb structure. The functional is PBE-GGA.

a b c (Å): 6.6677 6.6677 6.6677
angles (deg): 90.00 90.00 90.00
Closest atoms and distances in Å follow each position.
Fractional coordinates of all 5 atoms:
K 0.0000 0.0000 0.5000  2 Sb 3.33
K 0.0000 0.5000 0.0000  2 Sb 3.33
K 0.5000 0.0000 0.0000  2 Sb 3.33
Y 0.5000 0.5000 0.5000  12 K 4.71
Sb 0.0000 0.0000 0.0000  6 K 3.33

- Volume: 296.43 Å³/cell
- Uncorrected energy: -0.173 Ry per atom
- Symmetry: No. 221
- Raw formation energy: 41 kJ per mole of atoms

=====

(2)
This record from Alexandria describes a geometry-optimized KY2Sb structure. The functional is PBE-GGA.

a b c (Å): 6.0291 6.0291 6.0291
angles (deg): 131.20 131.20 71.50
Closest atoms and distances in Å follow each position.
Fractional coordinates of all 4 atoms:
K 0.0000 0.0000 0.0000  8 Y 3.49, 4 Sb 3.52
Y 0.2500 0.7500 0.5000  4 Sb 3.49, 4 K 3.49, 4 Y 3.52
Y 0.7500 0.2500 0.5000  4 Sb 3.49, 4 K 3.49, 4 Y 3.52
Sb 0.5000 0.5000 0.0000  8 Y 3.49, 4 K 3.52

- Volume: 121.42 Å³/cell
- Uncorrected energy: -0.336 Ry per atom
- Symmetry: No. 139
- Raw formation energy: -4 kJ per mole of atoms

=====

(3)
This record from Alexandria describes a geometry-optimized K2YSb structure. The functional is PBE-GGA.

a b c (Å): 13.2665 13.2665 13.2665
angles (deg): 15.80 15.80 15.80
Closest atoms and distances in Å follow each position.
Fractional coordinates of all 4 atoms:
K 0.2391 0.2391 0.2391  3 Sb 3.54, 6 K 3.65
K 0.7609 0.7609 0.7609  3 Sb 3.54, 6 K 3.65
Y 0.0000 0.0000 0.0000  6 Y 3.65
Sb 0.5000 0.5000 0.5000  6 K 3.54, 6 Sb 3.65

- Volume: 150.91 Å³/cell
- Uncorrected energy: -0.220 Ry per atom
- Symmetry: No. 166
- Raw formation energy: 19 kJ per mole of atoms